P.
Cu2Ag3 | GGA-PBE | optimized geometry

a = 4.863 Å, b = 2.845 Å, c = 11.402 Å
α = 90.00°, β = 97.39°, γ = 90.00°
Fractional coordinates of all 10 atoms:
Ag 0.649 0.250 0.188
Ag 0.146 0.750 0.199
Ag 0.560 0.750 0.399
Ag 0.440 0.250 0.601
Ag 0.854 0.250 0.801
Ag 0.351 0.750 0.812
Cu 0.243 0.250 0.002
Cu 0.049 0.250 0.407
Cu 0.951 0.750 0.593
Cu 0.757 0.750 0.998

Properties
Density ... 9.57 g/cm3
Space group ... P2_1/m, No. 11

***

Q.
Cu2Ag3 | GGA-PBE | optimized geometry

a = 6.074 Å, b = 6.074 Å, c = 9.368 Å
α = 99.50°, β = 99.50°, γ = 27.11°
Fractional coordinates of all 10 atoms:
Ag 0.690 0.690 0.087
Ag 0.400 0.400 0.180
Ag 0.098 0.098 0.309
Ag 0.810 0.810 0.403
Ag 0.194 0.194 0.614
Ag 0.909 0.909 0.706
Cu 0.503 0.503 0.508
Cu 0.602 0.602 0.810
Cu 0.300 0.300 0.897
Cu 0.994 0.994 0.985

Properties
Density ... 9.64 g/cm3
Space group ... Cm, No. 8

***

R.
Cu2Ag3 | GGA-PBE | optimized geometry

a = 7.382 Å, b = 7.382 Å, c = 4.895 Å
α = 96.51°, β = 96.51°, γ = 141.39°
Fractional coordinates of all 10 atoms:
Ag 0.953 0.047 0.250
Ag 0.746 0.254 0.250
Ag 0.355 0.645 0.250
Ag 0.645 0.355 0.750
Ag 0.254 0.746 0.750
Ag 0.047 0.953 0.750
Cu 0.550 0.450 0.250
Cu 0.148 0.852 0.250
Cu 0.852 0.148 0.750
Cu 0.450 0.550 0.750

Properties
Density ... 9.57 g/cm3
Space group ... C2/c, No. 15

***

Calculated relative energies: P 0.021; Q 0.000; R 0.013, given in eV/atom

***

P.
Cu2Ag3 | GGA-PBE | optimized geometry

a = 22.281 Å, b = 22.281 Å, c = 22.281 Å
α = 7.33°, β = 7.33°, γ = 7.33°
Fractional coordinates of all 10 atoms:
Ag 0.099 0.099 0.099
Ag 0.396 0.396 0.396
Ag 0.505 0.505 0.505
Ag 0.693 0.693 0.693
Ag 0.802 0.802 0.802
Ag 0.904 0.904 0.904
Cu 0.204 0.204 0.204
Cu 0.299 0.299 0.299
Cu 0.603 0.603 0.603
Cu 0.994 0.994 0.994

Properties
Density ... 9.58 g/cm3
Space group ... R3m, No. 160

***

Q.
Cu2Ag3 | GGA-PBE | optimized geometry

a = 22.224 Å, b = 22.224 Å, c = 22.224 Å
α = 7.36°, β = 7.36°, γ = 7.36°
Fractional coordinates of all 10 atoms:
Ag 0.196 0.196 0.196
Ag 0.305 0.305 0.305
Ag 0.399 0.399 0.399
Ag 0.602 0.602 0.602
Ag 0.798 0.798 0.798
Ag 0.899 0.899 0.899
Cu 0.005 0.005 0.005
Cu 0.099 0.099 0.099
Cu 0.497 0.497 0.497
Cu 0.700 0.700 0.700

Properties
Density ... 9.57 g/cm3
Space group ... R3m, No. 160

***

Calculated relative energies: P 0.000; Q 0.009, given in eV/atom

***

P.
Cu2Ag3 | GGA-PBE | optimized geometry

a = 2.844 Å, b = 6.910 Å, c = 8.068 Å
α = 101.47°, β = 90.00°, γ = 90.00°
Fractional coordinates of all 10 atoms:
Ag 0.750 0.349 0.062
Ag 0.250 0.029 0.163
Ag 0.750 0.170 0.468
Ag 0.250 0.830 0.532
Ag 0.750 0.971 0.837
Ag 0.250 0.651 0.938
Cu 0.750 0.721 0.244
Cu 0.250 0.458 0.359
Cu 0.750 0.542 0.641
Cu 0.250 0.279 0.756

Properties
Density ... 9.63 g/cm3
Space group ... P2_1/m, No. 11

***

Q.
Cu2Ag3 | GGA-PBE | optimized geometry

a = 4.859 Å, b = 4.884 Å, c = 7.351 Å
α = 107.47°, β = 103.05°, γ = 100.67°
Fractional coordinates of all 10 atoms:
Ag 0.082 0.695 0.193
Ag 0.392 0.300 0.288
Ag 0.701 0.906 0.393
Ag 0.299 0.094 0.607
Ag 0.608 0.700 0.712
Ag 0.918 0.305 0.807
Cu 0.500 0.500 0.000
Cu 0.784 0.098 0.095
Cu 0.000 0.500 0.500
Cu 0.216 0.902 0.905

Properties
Density ... 9.60 g/cm3
Space group ... P-1, No. 2

***

Calculated relative energies: P 0.000; Q 0.013, given in eV/atom

***

P.
Cu7Ag3 | GGA-PBE | optimized geometry

a = 8.901 Å, b = 8.901 Å, c = 5.669 Å
α = 99.25°, β = 99.25°, γ = 17.95°
Fractional coordinates of all 10 atoms:
Ag 0.307 0.307 0.396
Ag 0.500 0.500 0.500
Ag 0.693 0.693 0.604
Cu 0.500 0.500 0.000
Cu 0.699 0.699 0.093
Cu 0.903 0.903 0.171
Cu 0.099 0.099 0.272
Cu 0.901 0.901 0.728
Cu 0.097 0.097 0.829
Cu 0.301 0.301 0.907

Properties
Density ... 9.34 g/cm3
Space group ... C2/m, No. 12

***

Q.
Cu7Ag3 | GGA-PBE | optimized geometry

a = 21.361 Å, b = 21.361 Å, c = 21.361 Å
α = 7.34°, β = 7.34°, γ = 7.34°
Fractional coordinates of all 10 atoms:
Ag 0.101 0.101 0.101
Ag 0.201 0.201 0.201
Ag 0.698 0.698 0.698
Cu 0.298 0.298 0.298
Cu 0.399 0.399 0.399
Cu 0.500 0.500 0.500
Cu 0.601 0.601 0.601
Cu 0.802 0.802 0.802
Cu 0.904 0.904 0.904
Cu 0.996 0.996 0.996

Properties
Density ... 9.24 g/cm3
Space group ... R3m, No. 160

***

R.
Cu7Ag3 | GGA-PBE | optimized geometry

a = 5.926 Å, b = 5.926 Å, c = 8.961 Å
α = 101.91°, β = 101.91°, γ = 26.65°
Fractional coordinates of all 10 atoms:
Ag 0.700 0.700 0.108
Ag 0.500 0.500 0.500
Ag 0.300 0.300 0.892
Cu 0.000 0.000 0.000
Cu 0.409 0.409 0.201
Cu 0.100 0.100 0.303
Cu 0.794 0.794 0.404
Cu 0.206 0.206 0.596
Cu 0.900 0.900 0.697
Cu 0.591 0.591 0.799

Properties
Density ... 9.25 g/cm3
Space group ... C2/m, No. 12

***

S.
Cu7Ag3 | GGA-PBE | optimized geometry

a = 5.573 Å, b = 5.573 Å, c = 9.223 Å
α = 97.08°, β = 97.08°, γ = 28.78°
Fractional coordinates of all 10 atoms:
Ag 0.681 0.681 0.099
Ag 0.415 0.415 0.183
Ag 0.810 0.810 0.410
Cu 0.101 0.101 0.332
Cu 0.514 0.514 0.522
Cu 0.203 0.203 0.615
Cu 0.900 0.900 0.699
Cu 0.598 0.598 0.793
Cu 0.292 0.292 0.885
Cu 0.985 0.985 0.961

Properties
Density ... 9.33 g/cm3
Space group ... Cm, No. 8

***

Calculated relative energies: P 0.010; Q 0.039; R 0.029; S 0.000, given in eV/atom

***

P.
Cu7Ag3 | GGA-PBE | optimized geometry

a = 2.769 Å, b = 2.769 Å, c = 17.823 Å
α = 90.00°, β = 90.00°, γ = 90.00°
Fractional coordinates of all 10 atoms:
Ag 0.000 0.000 0.000
Ag 0.500 0.500 0.303
Ag 0.500 0.500 0.697
Cu 0.500 0.500 0.107
Cu 0.000 0.000 0.195
Cu 0.000 0.000 0.412
Cu 0.500 0.500 0.500
Cu 0.000 0.000 0.588
Cu 0.000 0.000 0.805
Cu 0.500 0.500 0.893

Properties
Density ... 9.34 g/cm3
Space group ... P4/mmm, No. 123

***

Q.
Cu7Ag3 | GGA-PBE | optimized geometry

a = 2.765 Å, b = 3.492 Å, c = 14.128 Å
α = 90.00°, β = 90.00°, γ = 90.00°
Fractional coordinates of all 10 atoms:
Ag 0.000 0.500 0.107
Ag 0.000 0.500 0.500
Ag 0.000 0.500 0.893
Cu 0.500 0.000 0.000
Cu 0.500 0.000 0.215
Cu 0.000 0.500 0.304
Cu 0.500 0.000 0.392
Cu 0.500 0.000 0.608
Cu 0.000 0.500 0.696
Cu 0.500 0.000 0.785

Properties
Density ... 9.35 g/cm3
Space group ... Pmmm, No. 47

***

Calculated relative energies: P 0.000; Q 0.008, given in eV/atom

***

P.
LuHfPbC | GGA-PBE | optimized geometry

a = 3.442 Å, b = 3.442 Å, c = 15.201 Å
α = 90.00°, β = 90.00°, γ = 120.00°
Fractional coordinates of all 8 atoms:
C 0.000 0.000 0.007
C 0.000 0.000 0.507
Hf 0.333 0.667 0.081
Hf 0.667 0.333 0.581
Lu 0.333 0.667 0.417
Lu 0.667 0.333 0.917
Pb 0.667 0.333 0.245
Pb 0.333 0.667 0.745

Properties
Size of the total moment ... 0.01 μB/f.u.
Density ... 12.19 g/cm3
Space group ... P6_3mc, No. 186

***

Q.
LuHfPbC | GGA-PBE | optimized geometry

a = 3.445 Å, b = 3.445 Å, c = 15.203 Å
α = 90.00°, β = 90.00°, γ = 120.00°
Fractional coordinates of all 8 atoms:
C 0.000 0.000 0.263
C 0.000 0.000 0.737
Hf 0.333 0.667 0.336
Hf 0.333 0.667 0.664
Lu 0.667 0.333 0.173
Lu 0.667 0.333 0.827
Pb 0.333 0.667 0.000
Pb 0.667 0.333 0.500

Properties
Size of the total moment ... 0.00 μB/f.u.
Density ... 12.17 g/cm3
Space group ... P-6m2, No. 187

***

Calculated relative energies: P 0.000; Q 0.007, given in eV/atom